[1]
{"formula": "LaMnAs2", "functional": "PBE", "state": "relaxed", "density_g_cm3": 6.271, "volume_a3_per_atom": 22.75, "ef_mev_per_atom": -507, "lattice_angstrom": [[7.021, -0.159, -0.133], [5.142, 4.782, 0.133], [-5.988, -2.557, 2.633]], "species": ["As", "As", "La", "Mn"], "frac_coords": [[0.933, 0.933, 0.000], [0.231, 0.731, 0.500], [0.543, 0.543, 0.000], [0.793, 0.293, 0.500]]}

---

[2]
{"formula": "LaMnAs2", "functional": "PBE", "state": "relaxed", "density_g_cm3": 6.414, "volume_a3_per_atom": 22.24, "ef_mev_per_atom": -499, "lattice_angstrom": [[3.627, -0.391, 0.000], [-0.848, 3.548, 0.000], [0.000, 0.000, 7.098]], "species": ["As", "As", "La", "Mn"], "frac_coords": [[0.000, 0.000, 0.959], [0.000, 0.000, 0.541], [0.500, 0.500, 0.250], [0.500, 0.500, 0.750]]}

---

[3]
{"formula": "LaMn2As", "functional": "PBE", "state": "relaxed", "density_g_cm3": 6.540, "volume_a3_per_atom": 20.55, "ef_mev_per_atom": 8, "lattice_angstrom": [[-5.556, -1.458, 0.233], [-2.084, -3.889, -3.684], [4.236, 0.729, 3.817]], "species": ["As", "La", "Mn", "Mn"], "frac_coords": [[0.528, 0.528, 0.000], [0.276, 0.776, 0.500], [0.017, 0.017, 0.000], [0.679, 0.179, 0.500]]}

---

[4]
{"formula": "La2MnAs", "functional": "PBE", "state": "relaxed", "density_g_cm3": 7.106, "volume_a3_per_atom": 23.82, "ef_mev_per_atom": 3, "lattice_angstrom": [[-4.142, -2.005, 2.260], [-3.783, -1.956, -2.854], [-0.777, -5.066, -0.103]], "species": ["As", "La", "La", "Mn"], "frac_coords": [[0.500, 0.500, 0.500], [0.000, 0.000, 0.000], [0.750, 0.750, 0.750], [0.250, 0.250, 0.250]]}

---

[5]
{"formula": "LaMnAs3", "functional": "PBE", "state": "relaxed", "density_g_cm3": 3.906, "volume_a3_per_atom": 35.59, "e_above_lowest_polymorph_ev_per_atom": 1.615, "ef_mev_per_atom": 893, "lattice_angstrom": [[-2.090, -3.606, -3.777], [-0.201, -4.010, 3.939], [-5.218, 1.598, 1.361]], "species": ["As", "As", "As", "Mn", "La"], "frac_coords": [[0.000, 0.500, 0.000], [0.000, 0.000, 0.500], [0.500, 0.000, 0.000], [0.500, 0.500, 0.500], [0.000, 0.000, 0.000]]}

---

[6]
{"formula": "La2MnAs", "functional": "PBE", "state": "relaxed", "density_g_cm3": 5.692, "volume_a3_per_atom": 29.73, "ef_mev_per_atom": -396, "lattice_angstrom": [[-3.445, -0.894, 2.166], [-1.080, -3.972, 0.646], [2.707, -1.686, 7.626]], "species": ["As", "La", "La", "Mn"], "frac_coords": [[0.250, 0.250, 0.250], [0.994, 0.994, 0.019], [0.506, 0.506, 0.481], [0.750, 0.750, 0.750]]}

---

[7]
{"formula": "LaMn2As", "functional": "PBE", "state": "relaxed", "density_g_cm3": 6.625, "volume_a3_per_atom": 20.28, "ef_mev_per_atom": 41, "lattice_angstrom": [[-1.261, 4.040, 0.903], [-4.129, -1.304, 0.069], [0.337, -0.841, 4.233]], "species": ["As", "La", "Mn", "Mn"], "frac_coords": [[0.500, 0.000, 0.500], [0.000, 0.500, 0.500], [0.000, 0.000, 0.000], [0.500, 0.500, 0.000]]}

---

[8]
{"formula": "LaMnAs2", "functional": "PBE", "state": "relaxed", "density_g_cm3": 5.726, "volume_a3_per_atom": 24.92, "ef_mev_per_atom": -424, "lattice_angstrom": [[5.025, 0.000, 0.000], [0.000, 5.025, 0.000], [2.513, 2.513, 7.893]], "species": ["As", "As", "As", "As", "Mn", "Mn", "La", "La"], "frac_coords": [[0.460, 0.125, 0.250], [0.290, 0.625, 0.250], [0.375, 0.540, 0.750], [0.875, 0.710, 0.750], [0.500, 0.500, 0.000], [0.250, 0.750, 0.500], [0.000, 0.000, 0.000], [0.750, 0.250, 0.500]]}

---

[9]
{"formula": "La2MnAs", "functional": "PBE", "state": "relaxed", "density_g_cm3": 5.867, "volume_a3_per_atom": 28.84, "ef_mev_per_atom": -154, "lattice_angstrom": [[7.971, 0.000, 0.000], [0.000, 7.971, 0.000], [3.985, 3.985, 3.632]], "species": ["As", "As", "Mn", "Mn", "La", "La", "La", "La"], "frac_coords": [[0.000, 0.000, 0.000], [0.750, 0.250, 0.500], [0.500, 0.500, 0.000], [0.250, 0.750, 0.500], [0.626, 0.125, 0.250], [0.124, 0.625, 0.250], [0.375, 0.374, 0.750], [0.875, 0.876, 0.750]]}

---

[10]
{"formula": "LaMnAs2", "functional": "PBE", "state": "relaxed", "density_g_cm3": 6.014, "volume_a3_per_atom": 23.72, "ef_mev_per_atom": -618, "lattice_angstrom": [[3.994, 0.000, 0.000], [0.000, 4.140, -0.430], [0.000, 0.578, 5.679]], "species": ["As", "As", "La", "Mn"], "frac_coords": [[0.000, 0.749, 0.008], [0.000, 0.751, 0.492], [0.500, 0.250, 0.250], [0.500, 0.750, 0.750]]}

---

[11]
{"formula": "LaMn4As12", "functional": "PBE", "state": "relaxed", "density_g_cm3": 6.811, "volume_a3_per_atom": 18.04, "ef_mev_per_atom": -329, "lattice_angstrom": [[6.937, 0.000, -2.453], [-3.468, 6.007, -2.453], [0.000, 0.000, 7.358]], "species": ["La", "Mn", "Mn", "Mn", "Mn", "As", "As", "As", "As", "As", "As", "As", "As", "As", "As", "As", "As"], "frac_coords": [[0.000, 0.000, 0.000], [0.000, 0.500, 0.000], [0.500, 0.000, 0.000], [0.500, 0.500, 0.500], [0.000, 0.000, 0.500], [0.846, 0.343, 0.190], [0.343, 0.497, 0.154], [0.810, 0.154, 0.657], [0.343, 0.190, 0.846], [0.190, 0.846, 0.343], [0.657, 0.503, 0.846], [0.497, 0.154, 0.343], [0.503, 0.846, 0.657], [0.657, 0.810, 0.154], [0.846, 0.657, 0.503], [0.154, 0.343, 0.497], [0.154, 0.657, 0.810]]}

---

[12]
{"formula": "LaMn2As", "functional": "PBE", "state": "relaxed", "density_g_cm3": 6.319, "volume_a3_per_atom": 21.27, "ef_mev_per_atom": -6, "lattice_angstrom": [[-2.644, -2.262, -2.213], [-0.333, -2.974, 3.438], [-3.457, 2.369, 1.710]], "species": ["As", "La", "Mn", "Mn"], "frac_coords": [[0.500, 0.250, 0.250], [0.500, 0.750, 0.750], [0.000, 0.967, 0.250], [0.000, 0.533, 0.250]]}

---

[13]
{"formula": "LaMn2As", "functional": "PBE", "state": "relaxed", "density_g_cm3": 6.734, "volume_a3_per_atom": 19.96, "ef_mev_per_atom": -94, "lattice_angstrom": [[-1.939, -2.780, -0.197], [2.774, -1.948, 0.191], [-0.549, -0.106, 6.902]], "species": ["As", "La", "Mn", "Mn"], "frac_coords": [[0.000, 0.000, 0.434], [0.500, 0.500, 0.745], [0.000, 0.000, 0.073], [0.500, 0.500, 0.248]]}

---

[14]
{"formula": "La3MnAs", "functional": "PBE", "state": "relaxed", "density_g_cm3": 6.664, "volume_a3_per_atom": 27.24, "e_above_lowest_polymorph_ev_per_atom": 0.000, "ef_mev_per_atom": -306, "lattice_angstrom": [[-0.375, -3.226, -3.990], [-1.917, -3.623, 3.109], [-4.760, 1.713, -0.938]], "species": ["As", "Mn", "La", "La", "La"], "frac_coords": [[0.500, 0.500, 0.500], [0.000, 0.000, 0.000], [0.000, 0.500, 0.000], [0.000, 0.000, 0.500], [0.500, 0.000, 0.000]]}

---

[15]
{"formula": "LaMnAs2", "functional": "PBE", "state": "relaxed", "density_g_cm3": 5.884, "volume_a3_per_atom": 24.25, "ef_mev_per_atom": -623, "lattice_angstrom": [[-2.164, -4.323, -0.511], [2.509, -0.886, -3.127], [3.182, -1.961, 3.106]], "species": ["As", "As", "La", "Mn"], "frac_coords": [[0.000, 0.025, 0.875], [0.500, 0.025, 0.375], [0.000, 0.526, 0.375], [0.500, 0.925, 0.875]]}

---

[16]
{"formula": "LaMnAs3", "functional": "PBE", "state": "relaxed", "density_g_cm3": 6.715, "volume_a3_per_atom": 20.70, "e_above_lowest_polymorph_ev_per_atom": 0.000, "ef_mev_per_atom": -722, "lattice_angstrom": [[5.656, 0.000, 0.000], [0.000, 5.763, 0.000], [0.000, 0.000, 12.703]], "species": ["La", "La", "La", "La", "Mn", "Mn", "Mn", "Mn", "As", "As", "As", "As", "As", "As", "As", "As", "As", "As", "As", "As"], "frac_coords": [[0.750, 0.495, 0.691], [0.250, 0.505, 0.309], [0.750, 0.995, 0.309], [0.250, 0.005, 0.691], [0.500, 0.250, 0.081], [0.000, 0.750, 0.919], [0.500, 0.750, 0.919], [0.000, 0.250, 0.081], [0.000, 0.250, 0.499], [0.500, 0.750, 0.501], [0.000, 0.750, 0.501], [0.500, 0.250, 0.499], [0.250, 0.107, 0.934], [0.750, 0.893, 0.066], [0.250, 0.607, 0.066], [0.750, 0.393, 0.934], [0.250, 0.509, 0.794], [0.750, 0.491, 0.206], [0.250, 0.009, 0.206], [0.750, 0.991, 0.794]]}

---

[17]
{"formula": "LaMnAs2", "functional": "PBE", "state": "relaxed", "density_g_cm3": 6.722, "volume_a3_per_atom": 21.22, "ef_mev_per_atom": -732, "lattice_angstrom": [[4.029, 0.009, -0.005], [2.007, 3.493, -0.005], [2.016, 1.170, 6.036]], "species": ["As", "As", "La", "Mn"], "frac_coords": [[0.021, 0.021, 0.936], [0.479, 0.479, 0.564], [0.250, 0.250, 0.250], [0.750, 0.750, 0.750]]}

---

[18]
{"formula": "La2MnAs", "functional": "PBE", "state": "relaxed", "density_g_cm3": 6.780, "volume_a3_per_atom": 24.96, "ef_mev_per_atom": -464, "lattice_angstrom": [[6.334, -0.234, 0.204], [5.268, 3.524, 0.204], [1.534, 0.435, 4.293]], "species": ["As", "La", "La", "Mn"], "frac_coords": [[0.194, 0.194, 0.306], [0.995, 0.995, 0.005], [0.770, 0.770, 0.730], [0.541, 0.541, 0.459]]}

---

[19]
{"formula": "LaMnAs2", "functional": "PBE", "state": "relaxed", "density_g_cm3": 6.410, "volume_a3_per_atom": 22.26, "ef_mev_per_atom": -446, "lattice_angstrom": [[4.835, 0.000, 0.000], [0.000, 4.835, 0.000], [0.000, 0.000, 3.809]], "species": ["As", "As", "La", "Mn"], "frac_coords": [[0.000, 0.000, 0.000], [0.500, 0.500, 0.000], [0.500, 0.000, 0.500], [0.000, 0.500, 0.500]]}

---

[20]
{"formula": "LaMnAs2", "functional": "PBE", "state": "relaxed", "density_g_cm3": 6.824, "volume_a3_per_atom": 20.91, "ef_mev_per_atom": -370, "lattice_angstrom": [[-0.789, 2.124, 2.610], [-3.057, -1.573, 0.356], [2.849, -4.511, 4.531]], "species": ["As", "As", "La", "Mn"], "frac_coords": [[0.000, 0.000, 0.952], [0.000, 0.000, 0.548], [0.500, 0.500, 0.250], [0.500, 0.500, 0.750]]}